Entry 1:
# GaSi2Sn

A relaxed GaSi2Sn crystal (PBE-GGA, Alexandria via LeMat-Bulk).

Cell and atoms, written as POSCAR:
```
GaSi2Sn
1.0
5.888 0.000 0.000
0.000 5.888 0.000
2.944 2.944 5.779
Si Sn Ga
4 2 2
Direct
0.375 0.400 0.750 Si
0.600 0.125 0.250 Si
0.875 0.850 0.750 Si
0.150 0.625 0.250 Si
0.750 0.250 0.500 Sn
0.000 0.000 0.000 Sn
0.500 0.500 0.000 Ga
0.250 0.750 0.500 Ga
```

* ΔE to the lowest computed polymorph: 0.000 eV/atom
* formation energy without anion corrections: 0.219 eV/atom
* total magnetic moment: 0.000 μB per atom
* total energy: -4.250 eV/atom

=====

Entry 2:
# Ga12Si3Sn5

A relaxed Ga12Si3Sn5 crystal (PBE-GGA, Alexandria via LeMat-Bulk).

Cell and atoms, written as POSCAR:
```
Ga12Si3Sn5
1.0
-7.337 4.988 10.340
-4.948 -12.166 -3.627
12.989 -1.354 3.885
Ga Si Sn
48 12 20
Direct
0.565 0.925 0.667 Ga
0.360 0.925 0.758 Ga
0.167 0.102 0.742 Ga
0.167 0.065 0.925 Ga
0.935 0.102 0.860 Ga
0.398 0.258 0.333 Ga
0.065 0.898 0.140 Ga
0.258 0.398 0.833 Ga
0.435 0.075 0.333 Ga
0.860 0.258 0.425 Ga
0.640 0.075 0.242 Ga
0.140 0.398 0.065 Ga
0.667 0.242 0.602 Ga
0.258 0.860 0.925 Ga
0.742 0.140 0.075 Ga
0.758 0.425 0.360 Ga
0.758 0.333 0.898 Ga
0.102 0.167 0.242 Ga
0.898 0.833 0.758 Ga
0.640 0.565 0.898 Ga
0.102 0.935 0.360 Ga
0.833 0.935 0.075 Ga
0.575 0.242 0.140 Ga
0.435 0.360 0.602 Ga
0.242 0.667 0.102 Ga
0.925 0.565 0.167 Ga
0.425 0.758 0.860 Ga
0.925 0.360 0.258 Ga
0.242 0.575 0.640 Ga
0.602 0.742 0.667 Ga
0.935 0.833 0.575 Ga
0.075 0.435 0.833 Ga
0.333 0.758 0.398 Ga
0.898 0.065 0.640 Ga
0.075 0.640 0.742 Ga
0.140 0.742 0.575 Ga
0.833 0.898 0.258 Ga
0.565 0.640 0.398 Ga
0.575 0.333 0.935 Ga
0.398 0.140 0.565 Ga
0.425 0.667 0.065 Ga
0.360 0.435 0.102 Ga
0.602 0.860 0.435 Ga
0.065 0.167 0.425 Ga
0.333 0.575 0.435 Ga
0.667 0.425 0.565 Ga
0.742 0.602 0.167 Ga
0.860 0.602 0.935 Ga
0.750 0.375 0.125 Si
0.375 0.750 0.625 Si
0.375 0.625 0.250 Si
0.875 0.125 0.250 Si
0.875 0.750 0.125 Si
0.625 0.250 0.375 Si
0.125 0.875 0.750 Si
0.125 0.250 0.875 Si
0.250 0.125 0.375 Si
0.625 0.375 0.750 Si
0.750 0.875 0.625 Si
0.250 0.625 0.875 Si
0.000 0.000 0.000 Sn
0.625 0.875 0.250 Sn
0.875 0.625 0.750 Sn
0.625 0.750 0.875 Sn
0.000 0.500 0.000 Sn
0.125 0.375 0.250 Sn
0.500 0.500 0.000 Sn
0.375 0.125 0.750 Sn
0.250 0.375 0.625 Sn
0.500 0.000 0.500 Sn
0.500 0.500 0.500 Sn
0.000 0.500 0.500 Sn
0.125 0.750 0.375 Sn
0.750 0.625 0.375 Sn
0.750 0.125 0.875 Sn
0.500 0.000 0.000 Sn
0.875 0.250 0.625 Sn
0.000 0.000 0.500 Sn
0.375 0.250 0.125 Sn
0.250 0.875 0.125 Sn
```

* formation energy without anion corrections: 0.205 eV/atom
* total magnetic moment: 0.000 μB per atom
* total energy: -3.425 eV/atom

=====

Entry 3:
# TaGaSi2Sn

A relaxed TaGaSi2Sn crystal (PBE-GGA, Alexandria via LeMat-Bulk).

Cell and atoms, written as POSCAR:
```
TaGaSi2Sn
1.0
4.930 0.000 0.000
0.000 5.374 0.000
0.000 0.000 4.930
Ta Si Ga Sn
1 2 1 1
Direct
0.000 0.000 0.000 Ta
0.500 0.000 0.000 Si
0.000 0.000 0.500 Si
0.500 0.500 0.500 Ga
0.000 0.500 0.000 Sn
```

* formation energy without anion corrections: 0.535 eV/atom
* total magnetic moment: 0.000 μB per atom
* total energy: -5.411 eV/atom

=====

Entry 4:
# SrGa3Si

A relaxed SrGa3Si crystal (PBE-GGA, Alexandria via LeMat-Bulk).

Cell and atoms, written as POSCAR:
```
SrGa3Si
1.0
-0.048 3.299 -4.656
-5.151 1.978 1.455
2.455 4.215 2.961
Si Ga Sr
1 3 1
Direct
0.500 0.500 0.500 Si
0.500 0.000 0.000 Ga
0.000 0.000 0.500 Ga
0.000 0.500 0.000 Ga
0.000 0.000 0.000 Sr
```

* ΔE to the lowest computed polymorph: 1.203 eV/atom
* formation energy without anion corrections: 1.235 eV/atom
* total magnetic moment: 0.000 μB per atom
* total energy: -2.002 eV/atom

=====

Entry 5:
# Sr2GaSi2

A relaxed Sr2GaSi2 crystal (PBE-GGA, Alexandria via LeMat-Bulk).

Cell and atoms, written as POSCAR:
```
Sr2GaSi2
1.0
-1.009 1.143 -4.344
-2.058 -3.475 -0.436
-4.652 4.834 2.353
Si Sr Ga
2 2 1
Direct
0.500 0.503 0.006 Si
0.500 0.313 0.627 Si
0.000 0.688 0.376 Sr
0.000 0.930 0.860 Sr
0.500 0.108 0.216 Ga
```

* formation energy without anion corrections: -0.286 eV/atom
* total magnetic moment: 0.000 μB per atom
* total energy: -3.733 eV/atom

=====

Entry 6:
# SrGa2Si2

A relaxed SrGa2Si2 crystal (PBE-GGA, Alexandria via LeMat-Bulk).

Cell and atoms, written as POSCAR:
```
SrGa2Si2
1.0
-2.274 -3.032 2.749
3.779 -0.348 2.742
-0.846 1.922 5.407
Ga Si Sr
2 2 1
Direct
0.750 0.250 0.500 Ga
0.250 0.750 0.500 Ga
0.372 0.372 0.256 Si
0.628 0.628 0.744 Si
0.000 0.000 0.000 Sr
```

* formation energy without anion corrections: -0.232 eV/atom
* total magnetic moment: 0.000 μB per atom
* total energy: -3.949 eV/atom

=====

Entry 7:
# Sr3Ga2Si

A relaxed Sr3Ga2Si crystal (PBE-GGA, Alexandria via LeMat-Bulk).

Cell and atoms, written as POSCAR:
```
Sr3Ga2Si
1.0
-0.116 -4.177 -0.648
2.291 -2.106 13.170
-12.742 0.011 2.218
Ga Sr Si
8 12 4
Direct
0.250 0.018 0.301 Ga
0.750 0.982 0.699 Ga
0.750 0.315 0.537 Ga
0.250 0.482 0.801 Ga
0.750 0.518 0.199 Ga
0.250 0.685 0.463 Ga
0.250 0.815 0.963 Ga
0.750 0.185 0.037 Ga
0.750 0.876 0.432 Sr
0.750 0.207 0.300 Sr
0.250 0.447 0.385 Sr
0.750 0.293 0.800 Sr
0.750 0.553 0.615 Sr
0.750 0.624 0.932 Sr
0.250 0.053 0.885 Sr
0.750 0.947 0.115 Sr
0.250 0.376 0.068 Sr
0.250 0.707 0.200 Sr
0.250 0.124 0.568 Sr
0.250 0.793 0.700 Sr
0.750 0.631 0.366 Si
0.750 0.869 0.866 Si
0.250 0.369 0.634 Si
0.250 0.131 0.134 Si
```

* formation energy without anion corrections: -0.388 eV/atom
* total magnetic moment: 0.000 μB per atom
* total energy: -3.142 eV/atom

=====

Entry 8:
# Sr2GaSi3

A relaxed Sr2GaSi3 crystal (PBE-GGA, Alexandria via LeMat-Bulk).

Cell and atoms, written as POSCAR:
```
Sr2GaSi3
1.0
-3.416 0.809 -3.107
0.717 -3.726 -1.759
-4.772 -3.024 4.459
Si Sr Ga
3 2 1
Direct
0.500 0.000 0.833 Si
0.500 0.000 0.162 Si
0.500 0.500 0.672 Si
0.000 0.000 0.507 Sr
0.000 0.500 0.994 Sr
0.500 0.500 0.332 Ga
```

* ΔE to the lowest computed polymorph: 0.000 eV/atom
* formation energy without anion corrections: -0.396 eV/atom
* total magnetic moment: 0.000 μB per atom
* total energy: -4.172 eV/atom

=====

Q: Which value of total magnetic moment does entry 2 give?
A: 0.000 μB per atom